[1]
# Nd4Sm3Er4 | the Alexandria database | PBE | optimized geometry
# Offset from the most stable computed form: 12.9 kJ per mole of atoms
data_Nd4Sm3Er4
_symmetry_space_group_name_H-M 'A m m 2'
_symmetry_Int_Tables_number 38
_symmetry_space_group_name_Hall 'A 2 -2'
_cell_length_a 10.7285
_cell_length_b 5.7301
_cell_length_c 12.0790
_cell_angle_alpha 90.00
_cell_angle_beta 90.00
_cell_angle_gamma 90.00
loop_
_atom_site_label
_atom_site_type_symbol
_atom_site_fract_x
_atom_site_fract_y
_atom_site_fract_z
Nd1 Nd 0.0000 0.0000 0.0000
Nd2 Nd 0.2107 0.0000 0.7935
Nd3 Nd 0.5000 0.0000 0.9220
Sm1 Sm 0.0000 0.0000 0.2932
Sm2 Sm 0.2895 0.0000 0.4504
Er1 Er 0.0000 0.0000 0.5943
Er2 Er 0.3031 0.0000 0.1441
Er3 Er 0.5000 0.0000 0.6496



[2]
# Pr3Si2Rh3 | the Alexandria database | PBE | optimized geometry
# Offset from the most stable computed form: 5.0 kJ per mole of atoms
# Formation energy without anion corrections: -0.852 eV per atom
data_Pr3Si2Rh3
_symmetry_space_group_name_H-M 'C m c m'
_symmetry_Int_Tables_number 63
_symmetry_space_group_name_Hall '-C 2c 2'
_cell_length_a 4.2365
_cell_length_b 10.6828
_cell_length_c 15.1020
_cell_angle_alpha 90.00
_cell_angle_beta 90.00
_cell_angle_gamma 90.00
loop_
_atom_site_label
_atom_site_type_symbol
_atom_site_fract_x
_atom_site_fract_y
_atom_site_fract_z
Pr1 Pr 0.0000 0.0754 0.1082
Pr2 Pr 0.0000 0.3644 0.2500
Si1 Si 0.0000 0.2119 0.6015
Rh1 Rh 0.0000 0.3256 0.7500
Rh2 Rh 0.0000 0.3397 0.0335



[3]
# Ac2LaMn2N6 | the Alexandria database | PBE | optimized geometry
# Formation energy without anion corrections: -0.760 eV per atom
data_Ac2LaMn2N6
_symmetry_space_group_name_H-M 'R -3 m'
_symmetry_Int_Tables_number 166
_symmetry_space_group_name_Hall '-R 3 2"'
_cell_length_a 5.7635
_cell_length_b 5.7635
_cell_length_c 18.9816
_cell_angle_alpha 90.00
_cell_angle_beta 90.00
_cell_angle_gamma 120.00
loop_
_atom_site_label
_atom_site_type_symbol
_atom_site_fract_x
_atom_site_fract_y
_atom_site_fract_z
Ac1 Ac 0.0000 0.0000 0.2129
La1 La 0.0000 0.0000 0.0000
Mn1 Mn 0.0000 0.0000 0.4084
N1 N 0.0067 0.5034 0.2370



[4]
# PuNF3 | the Alexandria database | PBE | optimized geometry
# Formation energy without anion corrections: -1.770 eV per atom
data_PuNF3
_symmetry_space_group_name_H-M 'P 1 21/c 1'
_symmetry_Int_Tables_number 14
_symmetry_space_group_name_Hall '-P 2ybc'
_cell_length_a 7.7969
_cell_length_b 7.4565
_cell_length_c 9.1264
_cell_angle_alpha 90.00
_cell_angle_beta 125.29
_cell_angle_gamma 90.00
loop_
_atom_site_label
_atom_site_type_symbol
_atom_site_fract_x
_atom_site_fract_y
_atom_site_fract_z
Pu1 Pu 0.9999 0.2500 0.0000
N1 N 0.4979 0.2466 0.4980
F1 F 0.0008 0.7500 0.2504
F2 F 0.2102 0.0000 0.1041
F3 F 0.2101 0.0000 0.6043



[5]
# LuHf2As | the Alexandria database | PBE | optimized geometry
# VASP energy: -7.2627 eV per atom
data_LuHf2As
_symmetry_space_group_name_H-M 'R -3 m'
_symmetry_Int_Tables_number 166
_symmetry_space_group_name_Hall '-R 3 2"'
_cell_length_a 3.4960
_cell_length_b 3.4960
_cell_length_c 28.5917
_cell_angle_alpha 90.00
_cell_angle_beta 90.00
_cell_angle_gamma 120.00
loop_
_atom_site_label
_atom_site_type_symbol
_atom_site_fract_x
_atom_site_fract_y
_atom_site_fract_z
Lu1 Lu 0.0000 0.0000 0.0000
Hf1 Hf 0.0000 0.0000 0.1091
As1 As 0.0000 0.0000 0.5000



[6]
# KZrP2 | the Alexandria database | PBE | optimized geometry
# Offset from the most stable computed form: 0.0 kJ per mole of atoms
data_KZrP2
_symmetry_space_group_name_H-M 'C 1 2/m 1'
_symmetry_Int_Tables_number 12
_symmetry_space_group_name_Hall '-C 2y'
_cell_length_a 6.7860
_cell_length_b 3.9129
_cell_length_c 7.7931
_cell_angle_alpha 90.00
_cell_angle_beta 106.79
_cell_angle_gamma 90.00
loop_
_atom_site_label
_atom_site_type_symbol
_atom_site_fract_x
_atom_site_fract_y
_atom_site_fract_z
K1 K 0.0000 0.0000 0.0000
Zr1 Zr 0.0000 0.5000 0.5000
P1 P 0.2286 0.0000 0.6863



[7]
# Na17In11Au | the Alexandria database | PBE | optimized geometry
# VASP energy: -2.0556 eV per atom
data_Na17In11Au
_symmetry_space_group_name_H-M 'C 1 m 1'
_symmetry_Int_Tables_number 8
_symmetry_space_group_name_Hall 'C -2y'
_cell_length_a 11.6589
_cell_length_b 16.6288
_cell_length_c 10.1313
_cell_angle_alpha 90.00
_cell_angle_beta 124.65
_cell_angle_gamma 90.00
loop_
_atom_site_label
_atom_site_type_symbol
_atom_site_fract_x
_atom_site_fract_y
_atom_site_fract_z
Na1 Na 0.0000 0.0000 0.0000
Na2 Na 0.0050 0.0000 0.6556
Na3 Na 0.0705 0.3437 0.0672
Na4 Na 0.1540 0.5000 0.3102
Na5 Na 0.1623 0.1521 0.2538
Na6 Na 0.1786 0.1721 0.6546
Na7 Na 0.1937 0.5000 0.9368
Na8 Na 0.3003 0.2947 0.9685
Na9 Na 0.4032 0.0000 0.3837
Na10 Na 0.4528 0.1379 0.6566
Na11 Na 0.4899 0.2033 0.3446
In1 In 0.0029 0.1851 0.8385
In2 In 0.2252 0.4083 0.6544
In3 In 0.2792 0.0921 0.0248
In4 In 0.3250 0.3150 0.4708
In5 In 0.3728 0.0000 0.8342
In6 In 0.4200 0.4099 0.2896
Au1 Au 0.1797 0.0000 0.4976



[8]
# NiHgCl3 | the Alexandria database | PBE | optimized geometry
# Offset from the most stable computed form: 0.0 kJ per mole of atoms
# Formation energy without anion corrections: -0.280 eV per atom
data_NiHgCl3
_symmetry_space_group_name_H-M 'P m -3 m'
_symmetry_Int_Tables_number 221
_symmetry_space_group_name_Hall '-P 4 2 3'
_cell_length_a 4.7007
_cell_length_b 4.7007
_cell_length_c 4.7007
_cell_angle_alpha 90.00
_cell_angle_beta 90.00
_cell_angle_gamma 90.00
loop_
_atom_site_label
_atom_site_type_symbol
_atom_site_fract_x
_atom_site_fract_y
_atom_site_fract_z
Ni1 Ni 0.0000 0.0000 0.0000
Hg1 Hg 0.5000 0.5000 0.5000
Cl1 Cl 0.0000 0.0000 0.5000



[9]
# CeMg2InHg4 | the Alexandria database | PBE | optimized geometry
# VASP energy: -1.8671 eV per atom
data_CeMg2InHg4
_symmetry_space_group_name_H-M 'R -3 m'
_symmetry_Int_Tables_number 166
_symmetry_space_group_name_Hall '-R 3 2"'
_cell_length_a 4.9665
_cell_length_b 4.9665
_cell_length_c 27.5074
_cell_angle_alpha 90.00
_cell_angle_beta 90.00
_cell_angle_gamma 120.00
loop_
_atom_site_label
_atom_site_type_symbol
_atom_site_fract_x
_atom_site_fract_y
_atom_site_fract_z
Ce1 Ce 0.0000 0.0000 0.0000
Mg1 Mg 0.0000 0.0000 0.2481
In1 In 0.0000 0.0000 0.5000
Hg1 Hg 0.0000 0.0000 0.1204
Hg2 Hg 0.0000 0.0000 0.3837



[10]
# NdSmGdY | the Alexandria database | PBE | optimized geometry
# VASP energy: -7.3964 eV per atom
data_NdSmGdY
_symmetry_space_group_name_H-M 'F -4 3 m'
_symmetry_Int_Tables_number 216
_symmetry_space_group_name_Hall 'F -4 2 3'
_cell_length_a 8.1436
_cell_length_b 8.1436
_cell_length_c 8.1436
_cell_angle_alpha 90.00
_cell_angle_beta 90.00
_cell_angle_gamma 90.00
loop_
_atom_site_label
_atom_site_type_symbol
_atom_site_fract_x
_atom_site_fract_y
_atom_site_fract_z
Nd1 Nd 0.0000 0.0000 0.0000
Sm1 Sm 0.0000 0.0000 0.5000
Gd1 Gd 0.2500 0.2500 0.2500
Y1 Y 0.2500 0.2500 0.7500